A plane-wave DFT calculation with PBE-GGA was carried out for a relaxed InHg2Se crystal.

Cell: 5.7882 5.7882 5.7882 Å, 139.79 111.47 82.55°
Last column: nearest neighbours and their distance in Å.
Atoms (fractional coordinates):
1 Hg 0.0066 0.0066 0.0000  2 Se 3.00, 2 Hg 3.01
2 Hg 0.7470 0.2470 0.5000  2 Hg 3.01, 2 In 3.05
3 In 0.4814 0.4814 0.0000  2 Se 2.74, 2 Hg 3.05
4 Se 0.2650 0.7650 0.5000  2 In 2.74, 2 Hg 3.00

## Properties
calculated volume: 112.83 Å³/f.u.
space-group type: No. 44
raw total energy: -1.7915 eV per atom

***

A plane-wave DFT calculation with PBE-GGA was carried out for a relaxed InSiHgSe2 crystal.

Cell: 5.0265 5.1278 5.0265 Å, 90.00 90.00 90.00°
Last column: nearest neighbours and their distance in Å.
Atoms (fractional coordinates):
1 Si 0.0000 0.0000 0.0000  4 Se 2.51, 2 Hg 2.56
2 Hg 0.0000 0.5000 0.0000  2 Si 2.56
3 Se 0.0000 0.0000 0.5000  2 Si 2.51
4 Se 0.5000 0.0000 0.0000  2 Si 2.51
5 In 0.5000 0.5000 0.5000  4 Hg 3.55, 8 Se 3.59

## Properties
calculated volume: 129.56 Å³/f.u.
space-group type: No. 123
raw total energy: -3.0371 eV per atom

***

A plane-wave DFT calculation with PBE-GGA was carried out for a relaxed InSnHgSe crystal.

Cell: 5.0235 5.0235 11.9689 Å, 77.89 77.89 60.00°
Last column: nearest neighbours and their distance in Å.
Atoms (fractional coordinates):
1 In 0.6075 0.6075 0.1775  4 Hg 3.06-3.09
2 In 0.3925 0.3925 0.8225  4 Hg 3.06-3.09
3 Sn 0.7912 0.7912 0.6263  4 Se 2.90-2.92
4 Sn 0.2088 0.2088 0.3737  4 Se 2.90-2.92
5 Hg 0.6954 0.6954 0.9139  4 In 3.06-3.09, 1 Sn 3.34
6 Hg 0.3046 0.3046 0.0861  4 In 3.06-3.09, 1 Sn 3.34
7 Se 0.1251 0.1251 0.6247  4 Sn 2.90-2.92
8 Se 0.8749 0.8749 0.3753  4 Sn 2.90-2.92

## Properties
calculated volume: 126.89 Å³/f.u.
space-group type: No. 166
raw total energy: -2.7039 eV per atom

***

A plane-wave DFT calculation with PBE-GGA was carried out for a relaxed Sr2InHgSe5 crystal.

Cell: 4.2142 9.8534 12.7744 Å, 90.00 90.00 102.35°
Last column: nearest neighbours and their distance in Å.
Atoms (fractional coordinates):
1 Sr 0.8788 0.7575 0.7966  8 Se 3.11-3.44
2 Sr 0.0969 0.1937 0.6435  6 Se 3.03-3.20
3 Sr 0.1212 0.2425 0.2966  8 Se 3.11-3.44
4 Sr 0.9031 0.8063 0.1435  6 Se 3.03-3.20
5 In 0.5767 0.1533 0.9405  4 Se 2.57-2.69
6 In 0.4233 0.8467 0.4405  4 Se 2.57-2.69
7 Hg 0.7554 0.5109 0.5441  5 Se 2.76-2.86
8 Hg 0.2446 0.4891 0.0441  5 Se 2.76-2.86
9 Se 0.3808 0.7615 0.9759  1 Hg 2.76, 2 Sr 3.03
10 Se 0.7138 0.4277 0.9010  1 In 2.69, 2 Hg 2.85
11 Se 0.5096 0.0192 0.7665  1 In 2.57
12 Se 0.2591 0.5182 0.6953  2 Hg 2.86, 1 Sr 3.19
13 Se 0.9403 0.8806 0.5605  2 In 2.63
14 Se 0.6192 0.2385 0.4759  1 Hg 2.76, 2 Sr 3.03
15 Se 0.2862 0.5723 0.4010  1 In 2.69, 2 Hg 2.85
16 Se 0.4904 0.9808 0.2665  1 In 2.57
17 Se 0.7409 0.4818 0.1953  2 Hg 2.86, 1 Sr 3.19
18 Se 0.0597 0.1194 0.0605  2 In 2.63

## Properties
calculated volume: 259.09 Å³/f.u.
space-group type: No. 36
raw total energy: -3.6581 eV per atom